No. 1
First-principles (PBE) data for crystalline Rb2AgHgH at its relaxed geometry, as listed in the Alexandria database.

Results
* space-group type: P4/mmm
* total magnetic moment: 0.0 μB per cell
* VASP energy: -1.695 eV per atom

Unit cell a=6.364 b=6.364 c=3.895 alpha=90.00 beta=90.00 gamma=90.00
Positions (direct):
H 0.000 0.000 0.000
Rb 0.000 0.500 0.000
Rb 0.500 0.000 0.000
Hg 0.500 0.500 0.500
Ag 0.000 0.000 0.500

No. 2
First-principles (PBE) data for crystalline ReAgHgH2 at its relaxed geometry, as listed in the Alexandria database.

Results
* space-group type: P4/mmm
* total magnetic moment: 2.1 μB per cell
* VASP energy: -3.559 eV per atom

Unit cell a=3.769 b=5.459 c=3.769 alpha=90.00 beta=90.00 gamma=90.00
Site moments in Bohr magnetons follow the coordinates.
Positions (direct):
Re 0.000 0.000 0.000  1.94
Hg 0.000 0.500 0.000  0.00
Ag 0.500 0.500 0.500  -0.01
H 0.000 0.000 0.500  -0.02
H 0.500 0.000 0.000  -0.02

No. 3
First-principles (PBE) data for crystalline AgHgHRh2 at its relaxed geometry, as listed in the Alexandria database.

Results
* space-group type: P4/mmm
* total magnetic moment: 0.4 μB per cell
* VASP energy: -4.086 eV per atom

Unit cell a=4.037 b=4.037 c=4.223 alpha=90.00 beta=90.00 gamma=90.00
Site moments in Bohr magnetons follow the coordinates.
Positions (direct):
H 0.000 0.000 0.000  0.00
Rh 0.000 0.500 0.000  0.21
Rh 0.500 0.000 0.000  0.21
Hg 0.500 0.500 0.500  0.00
Ag 0.000 0.000 0.500  0.01

No. 4
First-principles (PBE) data for crystalline AgHgHRh2 at its relaxed geometry, as listed in the Alexandria database.

Results
* space-group type: P4/mmm
* total magnetic moment: 0.1 μB per cell
* VASP energy: -3.984 eV per atom

Unit cell a=3.980 b=3.980 c=4.384 alpha=90.00 beta=90.00 gamma=90.00
Site moments in Bohr magnetons follow the coordinates.
Positions (direct):
H 0.000 0.000 0.000  0.00
Rh 0.000 0.500 0.000  0.07
Rh 0.500 0.000 0.000  0.07
Hg 0.000 0.000 0.500  0.00
Ag 0.500 0.500 0.500  0.00

No. 5
First-principles (PBE) data for crystalline AgHgSb2H at its relaxed geometry, as listed in the Alexandria database.

Results
* space-group type: P4/mmm
* total magnetic moment: 0.6 μB per cell
* VASP energy: -1.978 eV per atom

Unit cell a=5.410 b=5.393 c=5.410 alpha=90.00 beta=90.00 gamma=90.00
Site moments in Bohr magnetons follow the coordinates.
Positions (direct):
Sb 0.000 0.000 0.500  -0.02
Sb 0.500 0.000 0.000  -0.04
Hg 0.000 0.500 0.000  -0.01
Ag 0.000 0.000 0.000  -0.01
H 0.500 0.500 0.500  0.32

No. 6
First-principles (PBE) data for crystalline Sc2AgHgH at its relaxed geometry, as listed in the Alexandria database.

Results
* space-group type: P4/mmm
* total magnetic moment: 0.7 μB per cell
* VASP energy: -4.141 eV per atom

Unit cell a=4.509 b=4.509 c=4.157 alpha=90.00 beta=90.00 gamma=90.00
Site moments in Bohr magnetons follow the coordinates.
Positions (direct):
Sc 0.000 0.500 0.000  0.24
Sc 0.500 0.000 0.000  0.24
H 0.000 0.000 0.000  0.00
Hg 0.500 0.500 0.500  0.01
Ag 0.000 0.000 0.500  0.01